# 1
# BaAgPd2 | the Alexandria database | PBE-GGA | optimized geometry
# - energy above the most stable polymorph in this dataset (meV/atom) = 313
# - E_form (eV per atom) = -0.051
# - spin magnetization (μB/cell) = 0.0
# - ρ (g/cm³) = 7.5
data_BaAgPd2
_chemical_formula_sum 'Ba2 Ag2 Pd4'
_symmetry_space_group_name_H-M 'C m m m'
_symmetry_Int_Tables_number 65
_symmetry_space_group_name_Hall '-C 2 2'
_cell_length_a 6.0195
_cell_length_b 7.2597
_cell_length_c 4.6402
_cell_angle_alpha 90.00
_cell_angle_beta 90.00
_cell_angle_gamma 90.00
loop_
_atom_site_label
_atom_site_type_symbol
_atom_site_fract_x
_atom_site_fract_y
_atom_site_fract_z
_atom_site_occupancy
Ba1 Ba 0.0000 0.0000 0.0000 1
Ag1 Ag 0.0000 0.5000 0.0000 1
Pd1 Pd 0.0000 0.3077 0.5000 1


# 2
# Al2Tc2Bi | the Alexandria database | PBE-GGA | optimized geometry
# - energy above the most stable polymorph in this dataset (meV/atom) = 0
# - E_form (eV per atom) = 0.100
# - spin magnetization (μB/cell) = 0.0
# - ρ (g/cm³) = 8.9
data_Al2Tc2Bi
_chemical_formula_sum 'Al4 Tc4 Bi2'
_symmetry_space_group_name_H-M 'P 4/m b m'
_symmetry_Int_Tables_number 127
_symmetry_space_group_name_Hall '-P 4 2ab'
_cell_length_a 7.1613
_cell_length_b 7.1613
_cell_length_c 3.3552
_cell_angle_alpha 90.00
_cell_angle_beta 90.00
_cell_angle_gamma 90.00
loop_
_atom_site_label
_atom_site_type_symbol
_atom_site_fract_x
_atom_site_fract_y
_atom_site_fract_z
_atom_site_occupancy
Al1 Al 0.1358 0.3642 0.0000 1
Tc1 Tc 0.1547 0.6547 0.5000 1
Bi1 Bi 0.0000 0.0000 0.5000 1